# 1
Computed, not measured: a relaxed structure of BeAuCl2 at the GGA-PBEsol level of DFT.

Values from the calculation:
Energy above the most stable polymorph in this dataset in eV/atom: 0.0000
Total magnetization in μB/f.u.: 0.00
Formation energy (no corrections) in kcal/mol of atoms: -13.66
N(E_F) in states/eV/f.u.: 0.558

Cell lengths 3.0330, 3.0330, 28.4069 Å; angles 90.00, 90.00, 120.00 degrees
Space group R-3m (No. 166, hexagonal axes)
Unique sites:
Be 0.0000 0.0000 0.0000
Au 0.0000 0.0000 0.5000
Cl 0.0000 0.0000 0.2880

# 2
Computed, not measured: a relaxed structure of CrCuCl at the GGA-PBEsol level of DFT.

Values from the calculation:
Energy above the most stable polymorph in this dataset in eV/atom: 0.0744
Total magnetization in μB/f.u.: 3.95
Formation energy (no corrections) in kcal/mol of atoms: 7.63
N(E_F) in states/eV/f.u.: 1.613

Cell lengths 3.426, 5.018, 11.042 Å; angles 90.00, 90.00, 90.00 degrees
Space group Fmm2 (No. 42)
Unique sites:
Cr 0.000 0.000 0.000
Cu 0.000 0.000 0.341
Cl 0.000 0.000 0.653

# 3
Computed, not measured: a relaxed structure of BiMo2NO at the GGA-PBEsol level of DFT.

Values from the calculation:
Total magnetization in μB/f.u.: 0.00
Formation energy (no corrections) in kcal/mol of atoms: 9.91
N(E_F) in states/eV/f.u.: 5.758

Cell lengths 3.856, 3.856, 5.452 Å; angles 90.00, 90.00, 90.00 degrees
Space group P4/mmm (No. 123)
Unique sites:
Bi 0.000 0.000 0.000
Mo 0.000 0.500 0.500
N 0.500 0.500 0.500
O 0.500 0.500 0.000

total magnetization of number 1 (BeAuCl2)?
0.00 μB/f.u.